# 1
Computed, not measured: a geometry-optimized Fe4Pb5 structure at the PBE level of DFT.

extended XYZ file:
```
9
Lattice="5.788 -4.512 -0.404 -5.413 2.675 4.191 -4.407 -4.304 -4.010" Properties=species:S:1:pos:R:3 pbc="T T T"
Pb 2.121 -2.159 1.100
Pb -1.747 0.322 2.687
Pb -1.270 -2.722 1.163
Pb -2.762 -3.419 -1.386
Pb 0.000 0.000 0.000
Fe -3.793 -0.629 0.070
Fe 0.848 -5.411 -2.709
Fe 0.534 -3.405 -1.705
Fe -6.027 -1.000 0.111
```

Calculated values
excess energy over the best structure of this formula in the dataset: 0.000 eV per atom
DOS at the Fermi energy: 7.65 states/eV per cell
VASP energy: -0.195 hartree per atom
SG: I4/mmm (139)
formation energy from the elements: 50.8 kJ per mole of atoms

# 2
Computed, not measured: a geometry-optimized Fe5Pb structure at the PBE level of DFT.

extended XYZ file:
```
6
Lattice="0.000 3.459 3.459 3.459 0.000 3.459 3.459 3.459 0.000" Properties=species:S:1:pos:R:3 pbc="T T T"
Fe 2.597 2.597 4.321
Fe 4.321 2.597 2.597
Fe 2.597 4.321 2.597
Fe 1.730 1.730 1.730
Fe 4.321 4.321 4.321
Pb 0.000 0.000 0.000
```

Calculated values
excess energy over the best structure of this formula in the dataset: 0.013 eV per atom
DOS at the Fermi energy: 3.95 states/eV per cell
VASP energy: -0.271 hartree per atom
SG: F-43m (216)
formation energy from the elements: 28.4 kJ per mole of atoms

# 3
Computed, not measured: a geometry-optimized FePb3 structure at the PBE level of DFT.

extended XYZ file:
```
4
Lattice="-2.845 -1.355 -1.327 1.591 -0.327 -3.008 2.708 -7.933 2.295" Properties=species:S:1:pos:R:3 pbc="T T T"
Pb 1.354 -3.966 1.148
Pb 1.554 -7.229 -0.319
Pb -0.099 -2.387 -1.720
Fe 0.000 0.000 0.000
```

Calculated values
DOS at the Fermi energy: 5.03 states/eV per cell
VASP energy: -0.167 hartree per atom
SG: Cmmm (65)
formation energy from the elements: 34.7 kJ per mole of atoms